No. 1
First-principles (PBE) data for Pr4GaAg2 after structural relaxation, as listed in the Alexandria database.

a = 5.289 Å, b = 5.289 Å, c = 9.033 Å
α = 72.98°, β = 72.98°, γ = 60.00°
Fractional positions:
Ag 0.747 0.747 0.760
Pr 0.379 0.379 0.864
Pr 0.874 0.874 0.379
Ga 0.000 0.000 0.000
Pr 0.126 0.126 0.621
Ag 0.253 0.253 0.240
Pr 0.621 0.621 0.136

Computed properties:
Energy of formation   -0.204 eV per atom
DOS at the Fermi energy   8.69 states/eV per cell

***

No. 2
First-principles (PBE) data for La6CdHg2 after structural relaxation, as listed in the Alexandria database.

a = 9.205 Å, b = 9.205 Å, c = 9.205 Å
α = 106.30°, β = 111.90°, γ = 110.26°
Fractional positions:
La 0.909 0.727 0.181
La 0.725 0.051 0.326
Hg 0.649 0.000 0.649
La 0.805 0.747 0.552
La 0.091 0.273 0.819
Hg 0.500 0.635 0.135
La 0.275 0.949 0.674
La 0.546 0.727 0.819
La 0.805 0.253 0.058
Hg 0.500 0.365 0.865
Cd 0.000 0.000 0.000
La 0.195 0.253 0.448
La 0.454 0.273 0.181
Cd 0.000 0.500 0.500
La 0.275 0.601 0.326
La 0.725 0.399 0.674
Hg 0.351 0.000 0.351
La 0.195 0.747 0.942

Computed properties:
Energy of formation   -0.243 eV per atom
DOS at the Fermi energy   26.66 states/eV per cell
Distance to the lowest polymorph of the same formula   25 meV/atom

***

No. 3
First-principles (PBE) data for Pm2AlAgS5 after structural relaxation, as listed in the Alexandria database.

a = 3.871 Å, b = 8.966 Å, c = 11.277 Å
α = 90.00°, β = 90.00°, γ = 102.47°
Fractional positions:
S 0.503 0.005 0.779
S 0.959 0.917 0.558
Al 0.432 0.864 0.454
S 0.708 0.417 0.180
Pm 0.882 0.763 0.182
S 0.497 0.995 0.279
S 0.041 0.083 0.058
S 0.631 0.262 0.496
Pm 0.126 0.251 0.299
S 0.292 0.583 0.680
S 0.679 0.359 0.854
Al 0.568 0.136 0.954
S 0.321 0.641 0.354
Pm 0.118 0.237 0.682
Ag 0.774 0.548 0.522
Ag 0.226 0.452 0.022
S 0.369 0.738 0.996
Pm 0.874 0.749 0.799

Computed properties:
Raw formation energy   -1.421 eV/atom

***

Record-wise electronic total energy values, in eV for the cell shown: -29.27, -66.53, -99.04